Model 1:
Below is a relaxed KMgNbPd crystal, with properties calculated at the PBE level.

M_tot (μB per formula unit): 0.01
Space-group type: No. 216
ρ (g/cm3): 5.5

Lattice parameters (Å, degrees): 4.8193 4.8193 4.8193 60.00 60.00 60.00
With the nearest neighbours (Å) after each atom.
Sites, in units of the cell vectors:
K (0.5000, 0.5000, 0.5000)  4 Nb 2.95, 4 Mg 2.95
Mg (0.7500, 0.7500, 0.7500)  4 K 2.95, 4 Pd 2.95
Nb (0.2500, 0.2500, 0.2500)  4 K 2.95, 4 Pd 2.95
Pd (0.0000, 0.0000, 0.0000)  4 Nb 2.95, 4 Mg 2.95

Model 2:
Below is a relaxed KMgNbPd crystal, with properties calculated at the PBE level.

M_tot (μB per formula unit): 0.10
Space-group type: No. 216
ρ (g/cm3): 5.0

Lattice parameters (Å, degrees): 4.9718 4.9718 4.9718 60.00 60.00 60.00
With the nearest neighbours (Å) after each atom.
Sites, in units of the cell vectors:
K (0.0000, 0.0000, 0.0000)  4 Pd 3.04, 4 Mg 3.04
Mg (0.7500, 0.7500, 0.7500)  4 Nb 3.04, 4 K 3.04
Nb (0.5000, 0.5000, 0.5000)  4 Mg 3.04, 4 Pd 3.04
Pd (0.2500, 0.2500, 0.2500)  4 K 3.04, 4 Nb 3.04

The most stable of them is model 1.

Model 1:
Below is a relaxed KMgNbPt crystal, with properties calculated at the PBE level.

M_tot (μB per formula unit): 3.67
Space-group type: No. 216
ρ (g/cm3): 6.7

Lattice parameters (Å, degrees): 4.9808 4.9808 4.9808 60.00 60.00 60.00
With the nearest neighbours (Å) after each atom.
Sites, in units of the cell vectors:
K (0.2500, 0.2500, 0.2500)  4 Pt 3.05, 4 Nb 3.05
Mg (0.7500, 0.7500, 0.7500)  4 Pt 3.05, 4 Nb 3.05
Nb (0.0000, 0.0000, 0.0000)  4 Mg 3.05, 4 K 3.05
Pt (0.5000, 0.5000, 0.5000)  4 Mg 3.05, 4 K 3.05

Model 2:
Below is a relaxed KMgNbPt crystal, with properties calculated at the PBE level.

M_tot (μB per formula unit): 0.00
Space-group type: No. 216
ρ (g/cm3): 7.6

Lattice parameters (Å, degrees): 4.7725 4.7725 4.7725 60.00 60.00 60.00
With the nearest neighbours (Å) after each atom.
Sites, in units of the cell vectors:
K (0.0000, 0.0000, 0.0000)  4 Mg 2.92, 4 Nb 2.92
Mg (0.7500, 0.7500, 0.7500)  4 K 2.92, 4 Pt 2.92
Nb (0.2500, 0.2500, 0.2500)  4 Pt 2.92, 4 K 2.92
Pt (0.5000, 0.5000, 0.5000)  4 Nb 2.92, 4 Mg 2.92

Model 3:
Below is a relaxed KMgNbPt crystal, with properties calculated at the PBE level.

M_tot (μB per formula unit): 0.01
Space-group type: No. 216
ρ (g/cm3): 6.9

Lattice parameters (Å, degrees): 4.9202 4.9202 4.9202 60.00 60.00 60.00
With the nearest neighbours (Å) after each atom.
Sites, in units of the cell vectors:
K (0.5000, 0.5000, 0.5000)  4 Mg 3.01, 4 Pt 3.01
Mg (0.7500, 0.7500, 0.7500)  4 Nb 3.01, 4 K 3.01
Nb (0.0000, 0.0000, 0.0000)  4 Mg 3.01, 4 Pt 3.01
Pt (0.2500, 0.2500, 0.2500)  4 K 3.01, 4 Nb 3.01

The most stable of them is model 2.

Model 1:
Below is a relaxed KMgNiSb crystal, with properties calculated at the PBE level.

M_tot (μB per formula unit): 0.00
Space-group type: No. 216
ρ (g/cm3): 4.7

Lattice parameters (Å, degrees): 4.9641 4.9641 4.9641 60.00 60.00 60.00
With the nearest neighbours (Å) after each atom.
Sites, in units of the cell vectors:
K (0.5000, 0.5000, 0.5000)  4 Ni 3.04, 4 Mg 3.04
Mg (0.7500, 0.7500, 0.7500)  4 K 3.04, 4 Sb 3.04
Ni (0.2500, 0.2500, 0.2500)  4 K 3.04, 4 Sb 3.04
Sb (0.0000, 0.0000, 0.0000)  4 Mg 3.04, 4 Ni 3.04

Model 2:
Below is a relaxed KMgNiSb crystal, with properties calculated at the PBE level.

M_tot (μB per formula unit): 0.45
Space-group type: No. 216
ρ (g/cm3): 4.3

Lattice parameters (Å, degrees): 5.1059 5.1059 5.1059 60.00 60.00 60.00
With the nearest neighbours (Å) after each atom.
Sites, in units of the cell vectors:
K (0.2500, 0.2500, 0.2500)  4 Ni 3.13, 4 Sb 3.13
Mg (0.7500, 0.7500, 0.7500)  4 Sb 3.13, 4 Ni 3.13
Ni (0.5000, 0.5000, 0.5000)  4 K 3.13, 4 Mg 3.13
Sb (0.0000, 0.0000, 0.0000)  4 Mg 3.13, 4 K 3.13

The most stable of them is model 1.

Model 1:
Below is a relaxed KMgReOs crystal, with properties calculated at the PBE level.

M_tot (μB per formula unit): 0.00
Space-group type: No. 216
ρ (g/cm3): 10.2

Lattice parameters (Å, degrees): 4.6559 4.6559 4.6559 60.00 60.00 60.00
With the nearest neighbours (Å) after each atom.
Sites, in units of the cell vectors:
K (0.0000, 0.0000, 0.0000)  4 Mg 2.85, 4 Os 2.85
Mg (0.7500, 0.7500, 0.7500)  4 Re 2.85, 4 K 2.85
Os (0.2500, 0.2500, 0.2500)  4 Re 2.85, 4 K 2.85
Re (0.5000, 0.5000, 0.5000)  4 Mg 2.85, 4 Os 2.85

Model 2:
Below is a relaxed KMgReOs crystal, with properties calculated at the PBE level.

M_tot (μB per formula unit): 0.00
Space-group type: No. 216
ρ (g/cm3): 10.4

Lattice parameters (Å, degrees): 4.6247 4.6247 4.6247 60.00 60.00 60.00
With the nearest neighbours (Å) after each atom.
Sites, in units of the cell vectors:
K (0.5000, 0.5000, 0.5000)  4 Re 2.83, 4 Mg 2.83
Mg (0.7500, 0.7500, 0.7500)  4 Os 2.83, 4 K 2.83
Os (0.0000, 0.0000, 0.0000)  4 Mg 2.83, 4 Re 2.83
Re (0.2500, 0.2500, 0.2500)  4 K 2.83, 4 Os 2.83

Model 3:
Below is a relaxed KMgReOs crystal, with properties calculated at the PBE level.

M_tot (μB per formula unit): 3.54
Space-group type: No. 216
ρ (g/cm3): 9.6

Lattice parameters (Å, degrees): 4.7643 4.7643 4.7643 60.00 60.00 60.00
With the nearest neighbours (Å) after each atom.
Sites, in units of the cell vectors:
K (0.2500, 0.2500, 0.2500)  4 Re 2.92, 4 Os 2.92
Mg (0.7500, 0.7500, 0.7500)  4 Re 2.92, 4 Os 2.92
Os (0.0000, 0.0000, 0.0000)  4 Mg 2.92, 4 K 2.92
Re (0.5000, 0.5000, 0.5000)  4 Mg 2.92, 4 K 2.92

The most stable of them is model 2.

Model 1:
Below is a relaxed KMgSbPd crystal, with properties calculated at the PBE level.

Space-group type: No. 216
ρ (g/cm3): 5.0

Lattice parameters (Å, degrees): 5.1501 5.1501 5.1501 60.00 60.00 60.00
With the nearest neighbours (Å) after each atom.
Sites, in units of the cell vectors:
K (0.2500, 0.2500, 0.2500)  4 Pd 3.15, 4 Sb 3.15
Mg (0.7500, 0.7500, 0.7500)  4 Pd 3.15, 4 Sb 3.15
Pd (0.5000, 0.5000, 0.5000)  4 K 3.15, 4 Mg 3.15
Sb (0.0000, 0.0000, 0.0000)  4 Mg 3.15, 4 K 3.15

Model 2:
Below is a relaxed KMgSbPd crystal, with properties calculated at the PBE level.

Space-group type: No. 216
ρ (g/cm3): 5.3

Lattice parameters (Å, degrees): 5.0517 5.0517 5.0517 60.00 60.00 60.00
With the nearest neighbours (Å) after each atom.
Sites, in units of the cell vectors:
K (0.5000, 0.5000, 0.5000)  4 Pd 3.09, 4 Mg 3.09
Mg (0.7500, 0.7500, 0.7500)  4 Sb 3.09, 4 K 3.09
Pd (0.2500, 0.2500, 0.2500)  4 K 3.09, 4 Sb 3.09
Sb (0.0000, 0.0000, 0.0000)  4 Mg 3.09, 4 Pd 3.09

The most stable of them is model 2.

Model 1:
Below is a relaxed KMgTaPd crystal, with properties calculated at the PBE level.

M_tot (μB per formula unit): 0.00
Space-group type: No. 216
ρ (g/cm3): 7.5

Lattice parameters (Å, degrees): 4.7992 4.7992 4.7992 60.00 60.00 60.00
With the nearest neighbours (Å) after each atom.
Sites, in units of the cell vectors:
K (0.0000, 0.0000, 0.0000)  4 Ta 2.94, 4 Mg 2.94
Mg (0.7500, 0.7500, 0.7500)  4 K 2.94, 4 Pd 2.94
Pd (0.5000, 0.5000, 0.5000)  4 Ta 2.94, 4 Mg 2.94
Ta (0.2500, 0.2500, 0.2500)  4 Pd 2.94, 4 K 2.94

Model 2:
Below is a relaxed KMgTaPd crystal, with properties calculated at the PBE level.

M_tot (μB per formula unit): 0.00
Space-group type: No. 216
ρ (g/cm3): 6.8

Lattice parameters (Å, degrees): 4.9554 4.9554 4.9554 60.00 60.00 60.00
With the nearest neighbours (Å) after each atom.
Sites, in units of the cell vectors:
K (0.5000, 0.5000, 0.5000)  4 Mg 3.03, 4 Pd 3.03
Mg (0.7500, 0.7500, 0.7500)  4 K 3.03, 4 Ta 3.03
Pd (0.2500, 0.2500, 0.2500)  4 Ta 3.03, 4 K 3.03
Ta (0.0000, 0.0000, 0.0000)  4 Mg 3.03, 4 Pd 3.03

Model 3:
Below is a relaxed KMgTaPd crystal, with properties calculated at the PBE level.

M_tot (μB per formula unit): 3.03
Space-group type: No. 216
ρ (g/cm3): 6.6

Lattice parameters (Å, degrees): 5.0078 5.0078 5.0078 60.00 60.00 60.00
With the nearest neighbours (Å) after each atom.
Sites, in units of the cell vectors:
K (0.2500, 0.2500, 0.2500)  4 Ta 3.07, 4 Pd 3.07
Mg (0.7500, 0.7500, 0.7500)  4 Ta 3.07, 4 Pd 3.07
Pd (0.5000, 0.5000, 0.5000)  4 K 3.07, 4 Mg 3.07
Ta (0.0000, 0.0000, 0.0000)  4 K 3.07, 4 Mg 3.07

The most stable of them is model 1.